No. 1
## AcCe2Mg (PBE-GGA)

Data for AcCe2Mg after structural relaxation.

Calculated values
The calculation puts the energy of formation at 0.2650 eV/atom. For the total magnetization, the calculation gives 0.6849 μB per atom. The volume comes out at 527 Å³ per cell.

abc: 8.0768 8.0768 8.0768
angles: 90.00 90.00 90.00
Space group Fm-3m (No. 225)
Symmetry-distinct sites (fractional):
Ac 0.0000 0.0000 0.0000 [4 per cell]
Ce 0.2500 0.2500 0.2500 [8 per cell]
Mg 0.0000 0.0000 0.5000 [4 per cell]

No. 2
## TaSe2IBr (PBE-GGA)

Data for TaSe2IBr after structural relaxation.

Calculated values
For the total magnetization, the calculation gives 0.0000 μB per atom. The volume comes out at 134 Å³ per cell. The value obtained for the uncorrected formation energy is -0.11 eV/atom.

abc: 5.0770 5.0770 5.2075
angles: 90.00 90.00 90.00
Space group P4/mmm (No. 123)
Symmetry-distinct sites (fractional):
Ta 0.0000 0.0000 0.0000 [1 per cell]
Se 0.0000 0.5000 0.0000 [2 per cell]
I 0.5000 0.5000 0.5000 [1 per cell]
Br 0.0000 0.0000 0.5000 [1 per cell]

We obtain theoretical density values of 6.7; 6.8 g/cm3 for the records listed above, in that order.
We obtain final energy values of -0.30338; -0.33216 Ry/atom for the records listed above, in that order.